Entry 1:
This record from Alexandria describes a geometry-optimized LiLaNbN3 structure. The functional is PBE-GGA.

Unit cell a=3.2751 b=7.0687 c=6.9713 alpha=105.33 beta=90.00 gamma=90.00
With the nearest neighbours (Å) after each atom.
Element x y z (fractional)
Li: 0.2500 0.0775 0.5934  4 N 1.88-1.99
Li: 0.7500 0.9225 0.4066  4 N 1.88-1.99
La: 0.2500 0.2218 0.2425  5 N 2.47-2.62
La: 0.7500 0.7782 0.7575  5 N 2.47-2.62
Nb: 0.2500 0.6780 0.1764  3 N 1.98-2.12
Nb: 0.7500 0.3220 0.8236  3 N 1.98-2.12
N: 0.7500 0.8508 0.1269  1 Li 1.88
N: 0.2500 0.1492 0.8731  1 Li 1.88
N: 0.2500 0.7904 0.4680  1 Nb 1.98, 3 Li 1.99
N: 0.7500 0.2096 0.5320  1 Nb 1.98, 3 Li 1.99
N: 0.7500 0.4542 0.1673  3 Nb 2.27-2.33, 2 La 2.47
N: 0.2500 0.5458 0.8327  3 Nb 2.27-2.33, 2 La 2.47

Computed properties:
energy relative to the elements, uncorrected = -0.970 eV/atom
size of the total moment = 0.0000 μB/atom
space-group type = P2_1/m (11)
volume = 12.97 A^3/atom
final energy = -7.95 eV/atom

Entry 2:
This record from Alexandria describes a geometry-optimized LiLa2NbN structure. The functional is PBE-GGA.

Unit cell a=5.3061 b=5.3061 c=4.1592 alpha=90.00 beta=90.00 gamma=90.00
With the nearest neighbours (Å) after each atom.
Element x y z (fractional)
Nb: 0.0000 0.0000 0.5000  2 N 2.08
N: 0.0000 0.0000 0.0000  2 Nb 2.08
Li: 0.5000 0.5000 0.5000  8 La 3.37, 4 Nb 3.75
La: 0.0000 0.5000 0.0000  2 N 2.65
La: 0.5000 0.0000 0.0000  2 N 2.65

Computed properties:
energy relative to the elements, uncorrected = -0.404 eV/atom
size of the total moment = 0.2139 μB/atom
space-group type = P4/mmm (123)
volume = 23.42 A^3/atom
final energy = -6.44 eV/atom

Entry 3:
This record from Alexandria describes a geometry-optimized LiLa2NiN structure. The functional is PBE-GGA.

Unit cell a=5.2213 b=5.2213 c=3.7529 alpha=90.00 beta=90.00 gamma=90.00
With the nearest neighbours (Å) after each atom.
Element x y z (fractional)
Ni: 0.0000 0.0000 0.5000  2 N 1.88
N: 0.0000 0.0000 0.0000  2 Ni 1.88
Li: 0.5000 0.5000 0.5000  8 La 3.22
La: 0.0000 0.5000 0.0000  2 N 2.61
La: 0.5000 0.0000 0.0000  2 N 2.61

Computed properties:
energy relative to the elements, uncorrected = -0.450 eV/atom
size of the total moment = 0.0005 μB/atom
space-group type = P4/mmm (123)
volume = 20.46 A^3/atom
final energy = -5.63 eV/atom
ΔE to the lowest computed polymorph = 105.6 meV/atom

Entry 4:
This record from Alexandria describes a geometry-optimized LiLa2NiN structure. The functional is PBE-GGA.

Unit cell a=5.0464 b=5.0464 c=3.9072 alpha=90.00 beta=90.00 gamma=90.00
With the nearest neighbours (Å) after each atom.
Element x y z (fractional)
Ni: 0.5000 0.5000 0.5000  8 La 3.19, 4 Li 3.57
N: 0.0000 0.0000 0.0000  2 Li 1.95
Li: 0.0000 0.0000 0.5000  2 N 1.95
La: 0.0000 0.5000 0.0000  2 N 2.52
La: 0.5000 0.0000 0.0000  2 N 2.52

Computed properties:
energy relative to the elements, uncorrected = -0.556 eV/atom
size of the total moment = 0.0000 μB/atom
space-group type = P4/mmm (123)
volume = 19.90 A^3/atom
final energy = -5.73 eV/atom
ΔE to the lowest computed polymorph = 0.0 meV/atom